No. 1
A geometry-optimized TbMgTl2 structure, computed with PBEsol.

Computed properties:
Density ... 9.935 g cm⁻³
E_form ... -0.290 eV per atom
Density of states at the Fermi level ... 0.456 states/eV per atom

The structure in CIF format:
```
data_TbMgTl2
_chemical_formula_sum 'Tb4 Mg4 Tl8'
_space_group_name_H-M_alt 'F m -3 m'
_space_group_IT_number 225
_space_group_name_Hall '-F 4 2 3'
_cell_length_a 7.342
_cell_length_b 7.342
_cell_length_c 7.342
_cell_angle_alpha 90.00
_cell_angle_beta 90.00
_cell_angle_gamma 90.00
loop_
_atom_site_label
_atom_site_fract_x
_atom_site_fract_y
_atom_site_fract_z
Tb1 0.000 0.000 0.000
Mg1 0.000 0.000 0.500
Tl1 0.250 0.250 0.250
```

No. 2
A geometry-optimized Mg5Tc24 structure, computed with PBEsol.

Computed properties:
Density ... 9.615 g cm⁻³
E_form ... 0.009 eV per atom
Density of states at the Fermi level ... 0.845 states/eV per atom

The structure in CIF format:
```
data_Mg5Tc24
_chemical_formula_sum 'Mg10 Tc48'
_space_group_name_H-M_alt 'I -4 3 m'
_space_group_IT_number 217
_space_group_name_Hall 'I -4 2 3'
_cell_length_a 9.489
_cell_length_b 9.489
_cell_length_c 9.489
_cell_angle_alpha 90.00
_cell_angle_beta 90.00
_cell_angle_gamma 90.00
loop_
_atom_site_label
_atom_site_fract_x
_atom_site_fract_y
_atom_site_fract_z
Mg1 0.000 0.000 0.000
Mg2 0.180 0.180 0.180
Tc1 0.036 0.359 0.641
Tc2 0.092 0.092 0.715
```

No. 3
A geometry-optimized MgTc5 structure, computed with PBEsol.

Computed properties:
Density ... 9.808 g cm⁻³
E_form ... 0.095 eV per atom
Density of states at the Fermi level ... 1.057 states/eV per atom

The structure in CIF format:
```
data_MgTc5
_chemical_formula_sum 'Mg1 Tc5'
_space_group_name_H-M_alt 'P -6 m 2'
_space_group_IT_number 187
_space_group_name_Hall 'P -6 2'
_cell_length_a 2.7537
_cell_length_b 2.7537
_cell_length_c 13.2593
_cell_angle_alpha 90.00
_cell_angle_beta 90.00
_cell_angle_gamma 120.00
loop_
_atom_site_label
_atom_site_fract_x
_atom_site_fract_y
_atom_site_fract_z
Mg1 0.0000 0.0000 0.0000
Tc1 0.0000 0.0000 0.3349
Tc2 0.3333 0.6667 0.1797
Tc3 0.3333 0.6667 0.5000
```

No. 4
A geometry-optimized Mg3Tc4 structure, computed with PBEsol.

Computed properties:
Density ... 6.937 g cm⁻³
E_form ... 0.020 eV per atom
Density of states at the Fermi level ... 0.363 states/eV per atom

The structure in CIF format:
```
data_Mg3Tc4
_chemical_formula_sum 'Mg6 Tc8'
_space_group_name_H-M_alt 'I 4/m m m'
_space_group_IT_number 139
_space_group_name_Hall '-I 4 2'
_cell_length_a 3.025
_cell_length_b 3.025
_cell_length_c 24.318
_cell_angle_alpha 90.00
_cell_angle_beta 90.00
_cell_angle_gamma 90.00
loop_
_atom_site_label
_atom_site_fract_x
_atom_site_fract_y
_atom_site_fract_z
Mg1 0.000 0.000 0.000
Mg2 0.000 0.000 0.296
Tc1 0.000 0.000 0.129
Tc2 0.000 0.000 0.426
```

No. 5
A geometry-optimized MgTcTe2 structure, computed with PBEsol.

Computed properties:
Density ... 6.820 g cm⁻³
Density of states at the Fermi level ... 0.925 states/eV per atom
Formation energy without anion corrections ... 89 meV per atom

The structure in CIF format:
```
data_MgTcTe2
_chemical_formula_sum 'Mg2 Tc2 Te4'
_space_group_name_H-M_alt 'A m m 2'
_space_group_IT_number 38
_space_group_name_Hall 'A 2 -2'
_cell_length_a 5.335
_cell_length_b 5.318
_cell_length_c 6.481
_cell_angle_alpha 90.00
_cell_angle_beta 90.00
_cell_angle_gamma 90.00
loop_
_atom_site_label
_atom_site_fract_x
_atom_site_fract_y
_atom_site_fract_z
Mg1 0.000 0.000 0.000
Tc1 0.500 0.000 0.734
Te1 0.000 0.000 0.584
Te2 0.500 0.000 0.145
```

No. 6
A geometry-optimized MgTcTe2 structure, computed with PBEsol.

Computed properties:
Density ... 7.705 g cm⁻³
Density of states at the Fermi level ... 1.221 states/eV per atom
Formation energy without anion corrections ... 399 meV per atom

The structure in CIF format:
```
data_MgTcTe2
_chemical_formula_sum 'Mg2 Tc2 Te4'
_space_group_name_H-M_alt 'I -4 m 2'
_space_group_IT_number 119
_space_group_name_Hall 'I -4 -2'
_cell_length_a 4.133
_cell_length_b 4.133
_cell_length_c 9.526
_cell_angle_alpha 90.00
_cell_angle_beta 90.00
_cell_angle_gamma 90.00
loop_
_atom_site_label
_atom_site_fract_x
_atom_site_fract_y
_atom_site_fract_z
Mg1 0.000 0.000 0.000
Tc1 0.000 0.500 0.250
Te1 0.000 0.000 0.500
Te2 0.000 0.500 0.750
```

No. 7
A geometry-optimized Mg3TcTe structure, computed with PBEsol.

Computed properties:
Density ... 3.935 g cm⁻³
Density of states at the Fermi level ... 0.844 states/eV per atom
Formation energy without anion corrections ... 741 meV per atom

The structure in CIF format:
```
data_Mg3TcTe
_chemical_formula_sum 'Mg3 Tc1 Te1'
_space_group_name_H-M_alt 'P m -3 m'
_space_group_IT_number 221
_space_group_name_Hall '-P 4 2 3'
_cell_length_a 5.013
_cell_length_b 5.013
_cell_length_c 5.013
_cell_angle_alpha 90.00
_cell_angle_beta 90.00
_cell_angle_gamma 90.00
loop_
_atom_site_label
_atom_site_fract_x
_atom_site_fract_y
_atom_site_fract_z
Mg1 0.000 0.000 0.500
Tc1 0.000 0.000 0.000
Te1 0.500 0.500 0.500
```

No. 8
A geometry-optimized MgTcTe structure, computed with PBEsol.

Computed properties:
Density ... 6.862 g cm⁻³
Energy above the lowest structure with this stoichiometry ... 0.464 eV per atom
Density of states at the Fermi level ... 1.339 states/eV per atom
Formation energy without anion corrections ... 902 meV per atom

The structure in CIF format:
```
data_MgTcTe
_chemical_formula_sum 'Mg4 Tc4 Te4'
_space_group_name_H-M_alt 'F -4 3 m'
_space_group_IT_number 216
_space_group_name_Hall 'F -4 2 3'
_cell_length_a 6.231
_cell_length_b 6.231
_cell_length_c 6.231
_cell_angle_alpha 90.00
_cell_angle_beta 90.00
_cell_angle_gamma 90.00
loop_
_atom_site_label
_atom_site_fract_x
_atom_site_fract_y
_atom_site_fract_z
Mg1 0.000 0.000 0.000
Tc1 0.250 0.250 0.250
Te1 0.250 0.250 0.750
```